# 1
Entry from Alexandria: an optimized crystal structure of LiTh2 (PBE).

a b c (Å): 5.1409 5.1420 12.7182
angles (deg): 90.00 90.00 90.00
Closest atoms and distances in Å follow each position.
Space group Fmmm (No. 69)
Asymmetric unit:
Li  0.0000  0.0000  0.0000 (multiplicity 4)  8 Th 3.24
Th  0.0000  0.0000  0.3452 (multiplicity 8)  4 Li 3.24, 4 Th 3.53

---

# 2
Entry from Alexandria: an optimized crystal structure of Li2Th (PBE).

a b c (Å): 3.3474 3.3474 7.9408
angles (deg): 90.00 90.00 120.00
Closest atoms and distances in Å follow each position.
Space group P-3m1 (No. 164)
Asymmetric unit:
Li  0.3333  0.6667  0.3544 (multiplicity 2)  9 Li 3.01-3.35
Th  0.0000  0.0000  0.0000 (multiplicity 1)  6 Th 3.35, 6 Li 3.41

---

# 3
Entry from Alexandria: an optimized crystal structure of Li2Th (PBE).

a b c (Å): 3.3158 3.3158 13.0622
angles (deg): 90.00 90.00 90.00
Closest atoms and distances in Å follow each position.
Space group I4/mmm (No. 139)
Asymmetric unit:
Li  0.0000  0.0000  0.1869 (multiplicity 4)  4 Li 2.87
Th  0.0000  0.0000  0.5000 (multiplicity 2)  4 Th 3.32, 8 Li 3.39

---

# 4
Entry from Alexandria: an optimized crystal structure of Li5Th (PBE).

a b c (Å): 5.3381 15.4072 3.3079
angles (deg): 90.00 90.00 90.00
Closest atoms and distances in Å follow each position.
Space group Cmmm (No. 65)
Asymmetric unit:
Li  0.0000  0.0000  0.0000 (multiplicity 2)  4 Li 2.86, 4 Th 3.14
Li  0.0000  0.1516  0.5000 (multiplicity 4)  8 Li 2.86-3.19
Li  0.0000  0.3110  0.0000 (multiplicity 4)  10 Li 2.96-3.31
Th  0.0000  0.5000  0.5000 (multiplicity 2)  8 Li 3.14-3.35, 2 Th 3.31

---

# 5
Entry from Alexandria: an optimized crystal structure of Li4Th (PBE).

a b c (Å): 5.8256 5.8256 5.8256
angles (deg): 90.00 90.00 90.00
Closest atoms and distances in Å follow each position.
Space group Pm-3m (No. 221)
Asymmetric unit:
Li  0.0000  0.0000  0.0000 (multiplicity 1)  12 Li 4.12
Li  0.0000  0.5000  0.5000 (multiplicity 3)  2 Th 2.91
Th  0.5000  0.5000  0.5000 (multiplicity 1)  6 Li 2.91

---

# 6
Entry from Alexandria: an optimized crystal structure of Li2Th (PBE).

a b c (Å): 8.1851 8.1851 8.1851
angles (deg): 90.00 90.00 90.00
Closest atoms and distances in Å follow each position.
Space group Fd-3m (No. 227, origin choice 2)
Asymmetric unit:
Li  0.0000  0.0000  0.0000 (multiplicity 16)  6 Li 2.89
Th  0.1250  0.1250  0.6250 (multiplicity 8)  12 Li 3.39, 4 Th 3.54

---

no.,formation energy (eV per atom),mass density (g cm⁻³),volume (A^3/atom)
1,0.163,9.306,28.0
2,0.168,5.299,25.7
3,0.231,5.687,23.9
4,0.177,3.256,22.7
5,1.216,2.182,39.5
6,0.227,5.957,22.8